1.
First-principles (PBE) data for an optimized crystal structure of Zr3Zn5, as listed in Alexandria via LeMat-Bulk.

Results
For the energy above the most stable polymorph in this dataset, the calculation gives 0.0463 eV per atom. The formation enthalpy at 0 K is -215 meV per atom. As for the space-group type: Pm, No. 6. Its uncorrected energy is -33.7 eV/cell. The value obtained for the magnetization is 0.000 μB per atom.

The structure in extended XYZ format:
```
8
Lattice="-2.453 1.507 -3.236 0.648 -5.546 -3.074 -3.975 -4.162 1.076" Properties=species:S:1:pos:R:3 pbc="T T T"
Zn -3.872 -4.171 0.993
Zr -1.426 -7.560 -2.438
Zn -4.326 -7.369 -3.050
Zn -3.379 -3.059 -1.761
Zr -0.619 -3.915 -1.353
Zn -2.507 -5.053 -3.350
Zn -2.649 -5.763 -0.675
Zr -1.423 -1.010 -2.290
```

---

2.
First-principles (PBE) data for an optimized crystal structure of Zr7Zn, as listed in Alexandria via LeMat-Bulk.

Results
For the energy above the most stable polymorph in this dataset, the calculation gives 0.0000 eV per atom. The formation enthalpy at 0 K is -34 meV per atom. As for the space-group type: P4/mmm, No. 123. Its uncorrected energy is -61.4 eV/cell. The value obtained for the magnetization is 0.000 μB per atom.

The structure in extended XYZ format:
```
8
Lattice="4.449 0.000 0.000 0.000 4.451 0.000 0.000 0.000 8.919" Properties=species:S:1:pos:R:3 pbc="T T T"
Zr 0.000 2.226 6.751
Zr 0.000 2.226 2.168
Zn 0.000 0.000 0.000
Zr 2.225 0.000 6.750
Zr 0.000 0.000 4.459
Zr 2.225 0.000 2.168
Zr 2.225 2.226 0.000
Zr 2.225 2.226 4.459
```

---

3.
First-principles (PBE) data for an optimized crystal structure of ZrZn3, as listed in Alexandria via LeMat-Bulk.

Results
The formation enthalpy at 0 K is 71 meV per atom. As for the space-group type: Pm-3n, No. 223. Its uncorrected energy is -24.2 eV/cell. The value obtained for the magnetization is 0.000 μB per atom.

The structure in extended XYZ format:
```
8
Lattice="5.213 0.000 0.000 0.000 5.213 0.000 0.000 0.000 5.213" Properties=species:S:1:pos:R:3 pbc="T T T"
Zn 0.000 1.303 2.606
Zr 0.000 0.000 0.000
Zn 0.000 3.909 2.606
Zn 3.909 2.606 0.000
Zr 2.606 2.606 2.606
Zn 2.606 0.000 3.909
Zn 1.303 2.606 0.000
Zn 2.606 0.000 1.303
```

---

4.
First-principles (PBE) data for an optimized crystal structure of ZrZn3, as listed in Alexandria via LeMat-Bulk.

Results
The formation enthalpy at 0 K is -22 meV per atom. As for the space-group type: P-6m2, No. 187. Its uncorrected energy is -12.5 eV/cell. The value obtained for the magnetization is 0.000 μB per atom.

The structure in extended XYZ format:
```
4
Lattice="-2.887 -0.228 -0.555 0.972 -0.024 2.784 -0.792 9.178 0.356" Properties=species:S:1:pos:R:3 pbc="T T T"
Zn -0.512 2.202 1.760
Zr -0.908 6.791 1.938
Zn -0.014 0.162 0.006
Zn -0.382 4.427 0.172
```

---

5.
First-principles (PBE) data for an optimized crystal structure of ZrZn3, as listed in Alexandria via LeMat-Bulk.

Results
The formation enthalpy at 0 K is -65 meV per atom. As for the space-group type: Cmmm, No. 65. Its uncorrected energy is -12.6 eV/cell. The value obtained for the magnetization is 0.000 μB per atom.

The structure in extended XYZ format:
```
4
Lattice="-0.781 -1.365 5.012 1.161 -4.139 -3.020 2.650 0.369 0.513" Properties=species:S:1:pos:R:3 pbc="T T T"
Zn 0.934 -0.498 2.763
Zn 1.905 -1.885 -1.253
Zr 0.190 -2.752 0.996
Zn 0.000 0.000 0.000
```

---

6.
First-principles (PBE) data for an optimized crystal structure of ZrZn3, as listed in Alexandria via LeMat-Bulk.

Results
The formation enthalpy at 0 K is -84 meV per atom. As for the space-group type: C2/m, No. 12. Its uncorrected energy is -12.7 eV/cell. The value obtained for the magnetization is 0.000 μB per atom.

The structure in extended XYZ format:
```
4
Lattice="-0.503 -2.875 -0.851 3.803 1.558 -2.079 1.966 -1.719 4.643" Properties=species:S:1:pos:R:3 pbc="T T T"
Zn 0.877 -2.361 2.025
Zn 3.250 -1.229 2.230
Zr 2.016 -1.807 -0.517
Zn 5.120 -2.972 1.583
```

---

7.
First-principles (PBE) data for an optimized crystal structure of ZrZn6, as listed in Alexandria via LeMat-Bulk.

Results
For the energy above the most stable polymorph in this dataset, the calculation gives 0.7167 eV per atom. The formation enthalpy at 0 K is 614 meV per atom. As for the space-group type: Im-3m, No. 229. Its uncorrected energy is -11.9 eV/cell. The value obtained for the magnetization is 0.000 μB per atom.

The structure in extended XYZ format:
```
7
Lattice="-0.809 -5.017 -2.685 5.117 2.160 -1.477 -0.164 -0.822 5.686" Properties=species:S:1:pos:R:3 pbc="T T T"
Zn 1.911 -2.888 -1.331
Zn 0.752 -2.585 2.553
Zn 0.591 -3.634 0.460
Zn 3.554 -0.045 1.064
Zn 2.234 -0.791 2.855
Zr 0.000 0.000 0.000
Zn 3.393 -1.094 -1.029
```

---

8.
First-principles (PBE) data for an optimized crystal structure of ZrZn3, as listed in Alexandria via LeMat-Bulk.

Results
The formation enthalpy at 0 K is -150 meV per atom. As for the space-group type: P2/m, No. 10. Its uncorrected energy is -13.0 eV/cell. The value obtained for the magnetization is 0.000 μB per atom.

The structure in extended XYZ format:
```
4
Lattice="-0.172 1.717 -2.327 -1.492 -3.305 -2.328 -5.178 1.865 0.671" Properties=species:S:1:pos:R:3 pbc="T T T"
Zn -2.612 1.520 -0.483
Zr -4.758 1.034 -2.407
Zn -2.083 -0.757 -1.578
Zn -0.062 0.271 -0.345
```

---

9.
First-principles (PBE) data for an optimized crystal structure of Zr5Zn3, as listed in Alexandria via LeMat-Bulk.

Results
For the energy above the most stable polymorph in this dataset, the calculation gives 0.0389 eV per atom. The formation enthalpy at 0 K is -161 meV per atom. As for the space-group type: P6_3/mcm, No. 193. Its uncorrected energy is -95.7 eV/cell. The value obtained for the magnetization is 0.000 μB per atom.

The structure in extended XYZ format:
```
16
Lattice="8.346 0.000 0.000 4.173 7.228 0.000 0.000 0.000 5.302" Properties=species:S:1:pos:R:3 pbc="T T T"
Zr 0.993 1.719 3.977
Zn 3.315 0.000 3.977
Zn 2.516 4.357 3.977
Zn 5.831 4.357 1.326
Zn 1.658 2.871 1.326
Zn 6.689 2.870 3.977
Zr 8.346 4.818 2.651
Zn 5.031 0.000 1.326
Zr 4.173 2.409 2.651
Zr 4.173 2.409 5.302
Zr 7.354 1.719 1.326
Zr 8.346 4.818 0.000
Zr 10.534 7.228 3.977
Zr 5.166 5.508 3.977
Zr 3.181 5.508 1.326
Zr 6.159 7.228 1.326
```

---

10.
First-principles (PBE) data for an optimized crystal structure of Zr13Zn2, as listed in Alexandria via LeMat-Bulk.

Results
The formation enthalpy at 0 K is -36 meV per atom. As for the space-group type: P-1, No. 2. Its uncorrected energy is -114.2 eV/cell. The value obtained for the magnetization is 0.000 μB per atom.

The structure in extended XYZ format:
```
15
Lattice="5.862 -0.131 0.680 -0.919 7.781 0.211 0.311 -3.537 7.202" Properties=species:S:1:pos:R:3 pbc="T T T"
Zr 1.615 -0.586 7.298
Zr 0.501 5.490 1.742
Zr 3.639 4.699 0.796
Zr 3.371 0.890 4.809
Zr 1.870 -1.904 4.724
Zr 4.912 2.372 2.535
Zn 4.856 3.885 4.872
Zr 4.753 -1.377 6.351
Zr 2.679 0.588 1.673
Zn 0.398 0.228 3.222
Zr 3.384 6.016 3.370
Zr 0.000 0.000 0.000
Zr 1.883 3.222 3.285
Zr 0.342 1.741 5.559
Zr 2.575 3.525 6.420
```

---

11.
First-principles (PBE) data for an optimized crystal structure of ZrZn3, as listed in Alexandria via LeMat-Bulk.

Results
The formation enthalpy at 0 K is -250 meV per atom. As for the space-group type: Pmmn, No. 59. Its uncorrected energy is -26.7 eV/cell. The value obtained for the magnetization is 0.000 μB per atom.

The structure in extended XYZ format:
```
8
Lattice="5.565 0.000 0.000 0.000 4.151 0.000 0.000 0.000 5.789" Properties=species:S:1:pos:R:3 pbc="T T T"
Zr 2.783 2.076 2.335
Zn 1.420 0.000 0.811
Zr 0.000 0.000 3.454
Zn 4.146 0.000 0.811
Zn 1.363 2.076 4.978
Zn 0.000 2.076 1.485
Zn 2.783 0.000 4.304
Zn 4.202 2.076 4.978
```

---

12.
First-principles (PBE) data for an optimized crystal structure of Zr3Zn5, as listed in Alexandria via LeMat-Bulk.

Results
For the energy above the most stable polymorph in this dataset, the calculation gives 0.1589 eV per atom. The formation enthalpy at 0 K is -103 meV per atom. As for the space-group type: P2/m, No. 10. Its uncorrected energy is -32.8 eV/cell. The value obtained for the magnetization is 0.000 μB per atom.

The structure in extended XYZ format:
```
8
Lattice="-3.027 -2.838 -1.746 3.656 -1.265 -4.282 3.561 -4.663 1.407" Properties=species:S:1:pos:R:3 pbc="T T T"
Zr 1.780 -2.332 0.704
Zn 3.816 -5.966 -2.720
Zn 2.789 -0.979 -3.245
Zn 3.608 -2.964 -1.437
Zn 0.375 -2.800 -1.900
Zn 4.427 -4.949 0.370
Zr 2.317 -3.653 -3.882
Zr 1.873 -5.113 -0.739
```

---

- Which formula does entry 11 have?
  ZrZn3

---

- What is the formula in the fourth record?
  ZrZn3

---

Please write out number 12 again, unchanged.
First-principles (PBE) data for an optimized crystal structure of Zr3Zn5, as listed in Alexandria via LeMat-Bulk.

Results
For the energy above the most stable polymorph in this dataset, the calculation gives 0.1589 eV per atom. The formation enthalpy at 0 K is -103 meV per atom. As for the space-group type: P2/m, No. 10. Its uncorrected energy is -32.8 eV/cell. The value obtained for the magnetization is 0.000 μB per atom.

The structure in extended XYZ format:
```
8
Lattice="-3.027 -2.838 -1.746 3.656 -1.265 -4.282 3.561 -4.663 1.407" Properties=species:S:1:pos:R:3 pbc="T T T"
Zr 1.780 -2.332 0.704
Zn 3.816 -5.966 -2.720
Zn 2.789 -0.979 -3.245
Zn 3.608 -2.964 -1.437
Zn 0.375 -2.800 -1.900
Zn 4.427 -4.949 0.370
Zr 2.317 -3.653 -3.882
Zr 1.873 -5.113 -0.739
```

---

- Among the records above, which one has the lowest formation enthalpy at 0 K?
  number 11